Entry from Alexandria: a relaxed structure of Ca2MgGa6Ni (PBE).

Cell: 5.826 6.351 6.351 Å, 120.00 90.00 90.00°
Sites, in units of the cell vectors:
Ga 0.824 0.609 0.804
Ga 0.824 0.196 0.391
Ga 0.176 0.804 0.609
Ga 0.176 0.804 0.196
Ga 0.824 0.196 0.804
Ga 0.176 0.391 0.196
Ca 0.661 0.667 0.333
Ca 0.339 0.333 0.667
Ni 0.000 0.000 0.000
Mg 0.500 0.000 0.000

**Calculated density**: 4.74 g cm⁻³
**Formation enthalpy at 0 K**: -0.37 eV/atom
**Total magnetic moment**: 0.0000 μB/atom